1.
Density functional theory data (PBE) for a relaxed GaFe4 crystal.

Structure (CIF):
```
data_GaFe4
_cell_length_a 5.599
_cell_length_b 5.599
_cell_length_c 3.846
_cell_angle_alpha 90.00
_cell_angle_beta 90.00
_cell_angle_gamma 90.00
_symmetry_space_group_name_H-M 'P 1'
_symmetry_Int_Tables_number 1
_symmetry_space_group_name_Hall 'P 1'
loop_
_atom_site_label
_atom_site_type_symbol
_atom_site_fract_x
_atom_site_fract_y
_atom_site_fract_z
Ga1 Ga 0.000 0.000 0.000
Ga2 Ga 0.500 0.500 0.500
Fe1 Fe 0.094 0.701 0.500
Fe2 Fe 0.201 0.406 0.000
Fe3 Fe 0.299 0.094 0.500
Fe4 Fe 0.406 0.799 0.000
Fe5 Fe 0.594 0.201 0.000
Fe6 Fe 0.701 0.906 0.500
Fe7 Fe 0.799 0.594 0.000
Fe8 Fe 0.906 0.299 0.500
```

Computed properties:
**ρ**: 8.1 g/cm³
**Space group**: I4/m
**E_tot**: -7.419 eV/atom
**D(E_F)**: 7.25 states/eV per cell

***

2.
Density functional theory data (PBE) for a relaxed GaFe4 crystal.

Structure (CIF):
```
data_GaFe4
_cell_length_a 10.111
_cell_length_b 10.017
_cell_length_c 2.536
_cell_angle_alpha 84.86
_cell_angle_beta 80.67
_cell_angle_gamma 14.47
_symmetry_space_group_name_H-M 'P 1'
_symmetry_Int_Tables_number 1
_symmetry_space_group_name_Hall 'P 1'
loop_
_atom_site_label
_atom_site_type_symbol
_atom_site_fract_x
_atom_site_fract_y
_atom_site_fract_z
Ga1 Ga 0.000 0.000 0.000
Fe1 Fe 0.200 0.200 0.800
Fe2 Fe 0.398 0.398 0.602
Fe3 Fe 0.602 0.602 0.398
Fe4 Fe 0.800 0.800 0.200
```

Computed properties:
**ρ**: 8.0 g/cm³
**Space group**: Fmmm
**E_tot**: -7.372 eV/atom
**D(E_F)**: 3.83 states/eV per cell

***

3.
Density functional theory data (PBE) for a relaxed GaFe2 crystal.

Structure (CIF):
```
data_GaFe2
_cell_length_a 4.810
_cell_length_b 4.810
_cell_length_c 4.810
_cell_angle_alpha 60.00
_cell_angle_beta 60.00
_cell_angle_gamma 60.00
_symmetry_space_group_name_H-M 'P 1'
_symmetry_Int_Tables_number 1
_symmetry_space_group_name_Hall 'P 1'
loop_
_atom_site_label
_atom_site_type_symbol
_atom_site_fract_x
_atom_site_fract_y
_atom_site_fract_z
Ga1 Ga 0.125 0.125 0.125
Ga2 Ga 0.875 0.875 0.875
Fe1 Fe 0.000 0.500 0.500
Fe2 Fe 0.500 0.000 0.500
Fe3 Fe 0.500 0.500 0.000
Fe4 Fe 0.500 0.500 0.500
```

Computed properties:
**ρ**: 7.7 g/cm³
**Space group**: Fd-3m
**E_tot**: -6.573 eV/atom
**D(E_F)**: 4.64 states/eV per cell

***

Number 1: energy of formation -21 kJ/mol of formula units, total magnetization 1.8268 μB per atom. Number 2: energy of formation 2 kJ/mol of formula units, total magnetization 1.8771 μB per atom. Number 3: energy of formation 22 kJ/mol of formula units, total magnetization 1.4409 μB per atom.